The following is a GGA-PBE calculation of a relaxed HgAsP crystal, from Alexandria via LeMat-Bulk.

Offset from the most stable computed form ... 0.0 kJ/mol of formula units
Space-group type ... Cm (8)
E ... -0.12521 Ha/atom
Energy of formation ... 0.047 eV/atom
Spin magnetization ... 0.0 μB per formula unit

a = 8.002 Å, b = 3.460 Å, c = 5.992 Å
α = 90.00°, β = 104.09°, γ = 90.00°
Fractional coordinates of all 6 atoms:
Hg 0.685 0.500 0.711
As 0.115 0.500 0.193
As 0.115 0.000 0.693
Hg 0.685 0.000 0.211
P 0.285 0.000 0.415
P 0.285 0.500 0.915

The following is a GGA-PBE calculation of a relaxed HgAs2P crystal, from Alexandria via LeMat-Bulk.

Offset from the most stable computed form ... 96.5 kJ/mol of formula units
Space-group type ... Cmm2 (35)
E ... -0.12010 Ha/atom
Energy of formation ... 0.485 eV/atom
Spin magnetization ... 0.0 μB per formula unit
DOS(E_F) ... 1.78 states/eV per cell

a = 2.979 Å, b = 2.979 Å, c = 10.073 Å
α = 90.00°, β = 90.00°, γ = 112.24°
Fractional coordinates of all 4 atoms:
As 0.000 0.000 0.978
As 0.500 0.500 0.220
P 0.500 0.500 0.796
Hg 0.000 0.000 0.507